DFT (PBE) results for a relaxed Nb4TcMo5 crystal.

Geometry as CIF:
```
data_Nb4TcMo5
_cell_length_a 3.208
_cell_length_b 3.208
_cell_length_c 16.111
_cell_angle_alpha 90.00
_cell_angle_beta 90.00
_cell_angle_gamma 90.00
_symmetry_space_group_name_H-M 'P 1'
_symmetry_Int_Tables_number 1
loop_
_symmetry_equiv_pos_as_xyz
'x,y,z'
loop_
_atom_site_label
_atom_site_type_symbol
_atom_site_fract_x
_atom_site_fract_y
_atom_site_fract_z
_atom_site_occupancy
Nb1 Nb 0.000 0.000 0.399 1
Nb2 Nb 0.000 0.000 0.601 1
Mo1 Mo 0.500 0.500 0.297 1
Mo2 Mo 0.500 0.500 0.904 1
Mo3 Mo 0.500 0.500 0.703 1
Mo4 Mo 0.500 0.500 0.500 1
Nb3 Nb 0.000 0.000 0.802 1
Mo5 Mo 0.500 0.500 0.096 1
Nb4 Nb 0.000 0.000 0.198 1
Tc1 Tc 0.000 0.000 0.000 1
```

Summary:
Total energy = -10.58 eV/atom
Size of the total moment = 0.000 μB/cell
Energy of formation from the pure elements = -2.42 kcal/mol of atoms

---

DFT (PBE) results for a relaxed Nb4Tc5Mo crystal.

Geometry as CIF:
```
data_Nb4Tc5Mo
_cell_length_a 3.180
_cell_length_b 3.180
_cell_length_c 15.907
_cell_angle_alpha 90.00
_cell_angle_beta 90.00
_cell_angle_gamma 90.00
_symmetry_space_group_name_H-M 'P 1'
_symmetry_Int_Tables_number 1
loop_
_symmetry_equiv_pos_as_xyz
'x,y,z'
loop_
_atom_site_label
_atom_site_type_symbol
_atom_site_fract_x
_atom_site_fract_y
_atom_site_fract_z
_atom_site_occupancy
Tc1 Tc 0.500 0.500 0.903 1
Nb1 Nb 0.000 0.000 0.801 1
Nb2 Nb 0.000 0.000 0.199 1
Tc2 Tc 0.500 0.500 0.702 1
Nb3 Nb 0.000 0.000 0.400 1
Tc3 Tc 0.500 0.500 0.097 1
Tc4 Tc 0.500 0.500 0.500 1
Tc5 Tc 0.500 0.500 0.298 1
Nb4 Nb 0.000 0.000 0.600 1
Mo1 Mo 0.000 0.000 0.000 1
```

Summary:
Total energy = -10.55 eV/atom
Size of the total moment = 0.000 μB/cell
Energy of formation from the pure elements = -5.85 kcal/mol of atoms

---

DFT (PBE) results for a relaxed Nb2TcMo crystal.

Geometry as CIF:
```
data_Nb2TcMo
_cell_length_a 7.196
_cell_length_b 7.196
_cell_length_c 5.782
_cell_angle_alpha 51.52
_cell_angle_beta 51.52
_cell_angle_gamma 90.00
_symmetry_space_group_name_H-M 'P 1'
_symmetry_Int_Tables_number 1
loop_
_symmetry_equiv_pos_as_xyz
'x,y,z'
loop_
_atom_site_label
_atom_site_type_symbol
_atom_site_fract_x
_atom_site_fract_y
_atom_site_fract_z
_atom_site_occupancy
Tc1 Tc 0.000 0.000 0.000 1
Nb1 Nb 0.875 0.884 0.750 1
Mo1 Mo 0.250 0.750 0.500 1
Mo2 Mo 0.500 0.500 0.000 1
Nb2 Nb 0.116 0.625 0.250 1
Tc2 Tc 0.750 0.250 0.500 1
Nb3 Nb 0.634 0.125 0.250 1
Nb4 Nb 0.375 0.366 0.750 1
```

Summary:
Total energy = -9.77 eV/atom
Size of the total moment = 0.000 μB/cell
Energy of formation from the pure elements = 13.03 kcal/mol of atoms

---

DFT (PBE) results for a relaxed Nb2Tc3Mo crystal.

Geometry as CIF:
```
data_Nb2Tc3Mo
_cell_length_a 3.172
_cell_length_b 3.172
_cell_length_c 9.504
_cell_angle_alpha 90.00
_cell_angle_beta 90.00
_cell_angle_gamma 90.00
_symmetry_space_group_name_H-M 'P 1'
_symmetry_Int_Tables_number 1
loop_
_symmetry_equiv_pos_as_xyz
'x,y,z'
loop_
_atom_site_label
_atom_site_type_symbol
_atom_site_fract_x
_atom_site_fract_y
_atom_site_fract_z
_atom_site_occupancy
Tc1 Tc 0.000 0.000 0.663 1
Tc2 Tc 0.000 0.000 0.337 1
Mo1 Mo 0.500 0.500 0.500 1
Tc3 Tc 0.000 0.000 0.000 1
Nb1 Nb 0.500 0.500 0.832 1
Nb2 Nb 0.500 0.500 0.168 1
```

Summary:
Total energy = -10.54 eV/atom
Distance to the lowest polymorph of the same formula = 2.6 meV/atom
Size of the total moment = 0.000 μB/cell
Energy of formation from the pure elements = -4.47 kcal/mol of atoms

---

DFT (PBE) results for a relaxed Nb14TcMo crystal.

Geometry as CIF:
```
data_Nb14TcMo
_cell_length_a 6.562
_cell_length_b 6.562
_cell_length_c 6.594
_cell_angle_alpha 90.00
_cell_angle_beta 90.00
_cell_angle_gamma 90.00
_symmetry_space_group_name_H-M 'P 1'
_symmetry_Int_Tables_number 1
loop_
_symmetry_equiv_pos_as_xyz
'x,y,z'
loop_
_atom_site_label
_atom_site_type_symbol
_atom_site_fract_x
_atom_site_fract_y
_atom_site_fract_z
_atom_site_occupancy
Nb1 Nb 0.624 0.126 0.255 1
Nb2 Nb 0.875 0.875 0.000 1
Nb3 Nb 0.126 0.126 0.255 1
Nb4 Nb 0.875 0.375 0.500 1
Nb5 Nb 0.624 0.624 0.745 1
Nb6 Nb 0.375 0.375 0.000 1
Mo1 Mo 0.875 0.875 0.500 1
Nb7 Nb 0.126 0.624 0.255 1
Tc1 Tc 0.375 0.375 0.500 1
Nb8 Nb 0.375 0.875 0.500 1
Nb9 Nb 0.875 0.375 0.000 1
Nb10 Nb 0.624 0.624 0.255 1
Nb11 Nb 0.126 0.126 0.745 1
Nb12 Nb 0.624 0.126 0.745 1
Nb13 Nb 0.375 0.875 0.000 1
Nb14 Nb 0.126 0.624 0.745 1
```

Summary:
Total energy = -10.22 eV/atom
Size of the total moment = 0.000 μB/cell
Energy of formation from the pure elements = -1.88 kcal/mol of atoms

---

DFT (PBE) results for a relaxed NbTcMo3 crystal.

Geometry as CIF:
```
data_NbTcMo3
_cell_length_a 4.663
_cell_length_b 4.663
_cell_length_c 4.663
_cell_angle_alpha 90.00
_cell_angle_beta 90.00
_cell_angle_gamma 90.00
_symmetry_space_group_name_H-M 'P 1'
_symmetry_Int_Tables_number 1
loop_
_symmetry_equiv_pos_as_xyz
'x,y,z'
loop_
_atom_site_label
_atom_site_type_symbol
_atom_site_fract_x
_atom_site_fract_y
_atom_site_fract_z
_atom_site_occupancy
Mo1 Mo 0.000 0.500 0.000 1
Mo2 Mo 0.000 0.000 0.500 1
Mo3 Mo 0.500 0.000 0.000 1
Nb1 Nb 0.000 0.000 0.000 1
Tc1 Tc 0.500 0.500 0.500 1
```

Summary:
Total energy = -8.49 eV/atom
Distance to the lowest polymorph of the same formula = 603.7 meV/atom
Size of the total moment = 0.005 μB/cell
Energy of formation from the pure elements = 48.29 kcal/mol of atoms

---

DFT (PBE) results for a relaxed Nb4TcMo3 crystal.

Geometry as CIF:
```
data_Nb4TcMo3
_cell_length_a 3.219
_cell_length_b 4.558
_cell_length_c 9.134
_cell_angle_alpha 90.00
_cell_angle_beta 90.00
_cell_angle_gamma 90.00
_symmetry_space_group_name_H-M 'P 1'
_symmetry_Int_Tables_number 1
loop_
_symmetry_equiv_pos_as_xyz
'x,y,z'
loop_
_atom_site_label
_atom_site_type_symbol
_atom_site_fract_x
_atom_site_fract_y
_atom_site_fract_z
_atom_site_occupancy
Mo1 Mo 0.500 0.000 0.248 1
Nb1 Nb 0.000 0.000 0.500 1
Nb2 Nb 0.000 0.000 0.000 1
Nb3 Nb 0.000 0.500 0.248 1
Nb4 Nb 0.000 0.500 0.752 1
Tc1 Tc 0.500 0.500 0.000 1
Mo2 Mo 0.500 0.500 0.500 1
Mo3 Mo 0.500 0.000 0.752 1
```

Summary:
Total energy = -10.59 eV/atom
Size of the total moment = 0.000 μB/cell
Energy of formation from the pure elements = -4.56 kcal/mol of atoms

---

DFT (PBE) results for a relaxed NbTc4Mo crystal.

Geometry as CIF:
```
data_NbTc4Mo
_cell_length_a 5.125
_cell_length_b 5.125
_cell_length_c 5.125
_cell_angle_alpha 60.00
_cell_angle_beta 60.00
_cell_angle_gamma 60.00
_symmetry_space_group_name_H-M 'P 1'
_symmetry_Int_Tables_number 1
loop_
_symmetry_equiv_pos_as_xyz
'x,y,z'
loop_
_atom_site_label
_atom_site_type_symbol
_atom_site_fract_x
_atom_site_fract_y
_atom_site_fract_z
_atom_site_occupancy
Tc1 Tc 0.124 0.625 0.625 1
Tc2 Tc 0.625 0.625 0.124 1
Tc3 Tc 0.625 0.625 0.625 1
Tc4 Tc 0.625 0.124 0.625 1
Nb1 Nb 0.000 0.000 0.000 1
Mo1 Mo 0.250 0.250 0.250 1
```

Summary:
Total energy = -10.34 eV/atom
Size of the total moment = 0.000 μB/cell
Energy of formation from the pure elements = 1.34 kcal/mol of atoms

---

DFT (PBE) results for a relaxed NbTc3Mo crystal.

Geometry as CIF:
```
data_NbTc3Mo
_cell_length_a 4.599
_cell_length_b 4.599
_cell_length_c 4.599
_cell_angle_alpha 90.00
_cell_angle_beta 90.00
_cell_angle_gamma 90.00
_symmetry_space_group_name_H-M 'P 1'
_symmetry_Int_Tables_number 1
loop_
_symmetry_equiv_pos_as_xyz
'x,y,z'
loop_
_atom_site_label
_atom_site_type_symbol
_atom_site_fract_x
_atom_site_fract_y
_atom_site_fract_z
_atom_site_occupancy
Tc1 Tc 0.500 0.000 0.000 1
Tc2 Tc 0.000 0.000 0.500 1
Nb1 Nb 0.500 0.500 0.500 1
Tc3 Tc 0.000 0.500 0.000 1
Mo1 Mo 0.000 0.000 0.000 1
```

Summary:
Total energy = -8.89 eV/atom
Distance to the lowest polymorph of the same formula = 0.0 meV/atom
Size of the total moment = 0.000 μB/cell
Energy of formation from the pure elements = 34.83 kcal/mol of atoms

---

DFT (PBE) results for a relaxed Nb5Tc2Mo crystal.

Geometry as CIF:
```
data_Nb5Tc2Mo
_cell_length_a 4.605
_cell_length_b 5.512
_cell_length_c 10.756
_cell_angle_alpha 90.00
_cell_angle_beta 90.00
_cell_angle_gamma 90.00
_symmetry_space_group_name_H-M 'P 1'
_symmetry_Int_Tables_number 1
loop_
_symmetry_equiv_pos_as_xyz
'x,y,z'
loop_
_atom_site_label
_atom_site_type_symbol
_atom_site_fract_x
_atom_site_fract_y
_atom_site_fract_z
_atom_site_occupancy
Nb1 Nb 0.500 0.336 0.122 1
Mo1 Mo 0.000 0.000 0.500 1
Nb2 Nb 0.500 0.664 0.878 1
Nb3 Nb 0.000 0.000 0.000 1
Tc1 Tc 0.500 0.331 0.383 1
Tc2 Tc 0.500 0.169 0.883 1
Nb4 Nb 0.000 0.845 0.741 1
Nb5 Nb 0.000 0.655 0.241 1
Nb6 Nb 0.500 0.836 0.378 1
Nb7 Nb 0.000 0.345 0.759 1
Tc3 Tc 0.500 0.669 0.617 1
Nb8 Nb 0.500 0.164 0.622 1
Nb9 Nb 0.000 0.500 0.500 1
Tc4 Tc 0.500 0.831 0.117 1
Nb10 Nb 0.000 0.155 0.259 1
Mo2 Mo 0.000 0.500 0.000 1
```

Summary:
Total energy = -10.36 eV/atom
Size of the total moment = 0.000 μB/cell
Energy of formation from the pure elements = -2.69 kcal/mol of atoms

---

DFT (PBE) results for a relaxed NbTcMo2 crystal.

Geometry as CIF:
```
data_NbTcMo2
_cell_length_a 5.855
_cell_length_b 5.855
_cell_length_c 5.855
_cell_angle_alpha 54.85
_cell_angle_beta 150.60
_cell_angle_gamma 134.79
_symmetry_space_group_name_H-M 'P 1'
_symmetry_Int_Tables_number 1
loop_
_symmetry_equiv_pos_as_xyz
'x,y,z'
loop_
_atom_site_label
_atom_site_type_symbol
_atom_site_fract_x
_atom_site_fract_y
_atom_site_fract_z
_atom_site_occupancy
Mo1 Mo 0.000 0.733 0.733 1
Mo2 Mo 0.000 0.267 0.267 1
Nb1 Nb 0.000 0.000 0.000 1
Tc1 Tc 0.000 0.500 0.500 1
```

Summary:
Total energy = -9.91 eV/atom
Distance to the lowest polymorph of the same formula = 719.5 meV/atom
Size of the total moment = 0.000 μB/cell
Energy of formation from the pure elements = 14.16 kcal/mol of atoms

---

DFT (PBE) results for a relaxed Nb4Tc2Mo crystal.

Geometry as CIF:
```
data_Nb4Tc2Mo
_cell_length_a 5.484
_cell_length_b 5.484
_cell_length_c 5.484
_cell_angle_alpha 109.87
_cell_angle_beta 109.27
_cell_angle_gamma 109.27
_symmetry_space_group_name_H-M 'P 1'
_symmetry_Int_Tables_number 1
loop_
_symmetry_equiv_pos_as_xyz
'x,y,z'
loop_
_atom_site_label
_atom_site_type_symbol
_atom_site_fract_x
_atom_site_fract_y
_atom_site_fract_z
_atom_site_occupancy
Mo1 Mo 0.000 0.000 0.000 1
Tc1 Tc 0.500 0.000 0.500 1
Tc2 Tc 0.500 0.500 0.000 1
Nb1 Nb 0.500 0.000 0.000 1
Nb2 Nb 0.000 0.000 0.500 1
Nb3 Nb 0.000 0.500 0.000 1
Nb4 Nb 0.500 0.500 0.500 1
```

Summary:
Total energy = -10.20 eV/atom
Size of the total moment = 0.000 μB/cell
Energy of formation from the pure elements = 1.36 kcal/mol of atoms